#w
DFT (meta-GGA SCAN) results for a PBEsol-optimized structure of Re2HgPb.

a = 6.415 Å, b = 6.415 Å, c = 6.415 Å
α = 154.19°, β = 136.64°, γ = 51.15°
Atoms (fractional coordinates):
Re 0.000 0.000 0.000
Re 0.822 0.322 0.500
Hg 0.297 0.797 0.500
Pb 0.590 0.590 0.000

Results
Density of states at the Fermi level   2.5 states/eV/cell

#x
DFT (meta-GGA SCAN) results for a PBEsol-optimized structure of Re2HgPb.

a = 2.896 Å, b = 2.896 Å, c = 8.575 Å
α = 90.00°, β = 90.00°, γ = 90.00°
Atoms (fractional coordinates):
Re 0.000 0.000 0.242
Re 0.000 0.000 0.758
Hg 0.500 0.500 0.000
Pb 0.500 0.500 0.500

Results
Density of states at the Fermi level   3.6 states/eV/cell

Of them, the most stable is #w and the least stable is #x.